1.
Material: Zr3CdH
Method: DFT, PBE
State: relaxed

CIF file:
```
data_Zr3CdH
_symmetry_space_group_name_H-M 'P 1 21/c 1'
_symmetry_Int_Tables_number 14
_symmetry_space_group_name_Hall '-P 2ybc'
_cell_length_a 8.029
_cell_length_b 5.623
_cell_length_c 10.479
_cell_angle_alpha 90.00
_cell_angle_beta 128.25
_cell_angle_gamma 90.00
loop_
_atom_site_label
_atom_site_type_symbol
_atom_site_fract_x
_atom_site_fract_y
_atom_site_fract_z
Zr1 Zr 0.070 0.073 0.299
Zr2 Zr 0.341 0.193 0.685
Zr3 Zr 0.409 0.738 0.444
Cd1 Cd 0.149 0.701 0.566
H1 H 0.259 0.111 0.837
```

The calculation puts the total energy at -120.99 eV per cell. The value obtained for the volume is 92.9 Å³/f.u. As for the energy above the most stable polymorph in this dataset: 174 meV per atom.

2.
Material: DyTmSn2
Method: DFT, PBE
State: relaxed

CIF file:
```
data_DyTmSn2
_symmetry_space_group_name_H-M 'P m c 21'
_symmetry_Int_Tables_number 26
_symmetry_space_group_name_Hall 'P 2c -2'
_cell_length_a 4.273
_cell_length_b 6.105
_cell_length_c 8.303
_cell_angle_alpha 90.00
_cell_angle_beta 90.00
_cell_angle_gamma 90.00
loop_
_atom_site_label
_atom_site_type_symbol
_atom_site_fract_x
_atom_site_fract_y
_atom_site_fract_z
Dy1 Dy 0.000 0.126 0.000
Tm1 Tm 0.500 0.376 0.635
Sn1 Sn 0.000 0.408 0.362
Sn2 Sn 0.500 0.089 0.273
```

The calculation puts the total energy at -39.59 eV per cell. The value obtained for the volume is 108.3 Å³/f.u. As for the formation energy from the elements: -0.68 eV/atom.

3.
Material: SmBe2GaPd5
Method: DFT, PBE
State: relaxed

CIF file:
```
data_SmBe2GaPd5
_symmetry_space_group_name_H-M 'P 4/m m m'
_symmetry_Int_Tables_number 123
_symmetry_space_group_name_Hall '-P 4 2'
_cell_length_a 4.422
_cell_length_b 4.422
_cell_length_c 7.124
_cell_angle_alpha 90.00
_cell_angle_beta 90.00
_cell_angle_gamma 90.00
loop_
_atom_site_label
_atom_site_type_symbol
_atom_site_fract_x
_atom_site_fract_y
_atom_site_fract_z
Sm1 Sm 0.000 0.000 0.000
Be1 Be 0.500 0.500 0.336
Ga1 Ga 0.000 0.000 0.500
Pd1 Pd 0.000 0.500 0.292
Pd2 Pd 0.500 0.500 0.000
```

The calculation puts the total energy at -46.10 eV per cell. The value obtained for the volume is 139.3 Å³/f.u. As for the formation energy from the elements: -0.55 eV/atom.